--- a ---
Computed, not measured: crystalline ScMn3S at its relaxed geometry at the PBE-GGA level of DFT.

POSCAR file:
```
ScMn3S
1.0
-1.429 2.270 -3.186
-3.721 0.259 1.854
1.209 3.482 1.939
S Mn Sc
1 3 1
Direct
0.000 0.000 0.000 S
0.000 0.000 0.500 Mn
0.500 0.000 0.000 Mn
0.000 0.500 0.000 Mn
0.500 0.500 0.500 Sc
```

- DOS(E_F): 2.37 states/eV/cell
- Space group: Pm-3m (221)
- Crystal system: cubic

--- b ---
Computed, not measured: crystalline ScMn3S at its relaxed geometry at the PBE-GGA level of DFT.

POSCAR file:
```
ScMn3S
1.0
4.718 0.000 0.000
0.000 4.718 0.000
0.000 0.000 4.718
Mn S Sc
3 1 1
Direct
0.000 0.500 0.000 Mn
0.500 0.000 0.000 Mn
0.000 0.000 0.500 Mn
0.500 0.500 0.500 S
0.000 0.000 0.000 Sc
```

- DOS(E_F): 3.72 states/eV/cell
- Space group: Pm-3m (221)
- Crystal system: cubic

Which structure is most stable? a, by 142.8 kJ/mol of atoms over the runner-up.

--- a ---
Computed, not measured: crystalline Mn2SiS4 at its relaxed geometry at the PBE-GGA level of DFT.

POSCAR file:
```
Mn2SiS4
1.0
-1.820 2.144 -5.230
0.294 -6.850 -2.911
-12.105 -1.967 3.406
Mn Si S
8 4 16
Direct
0.008 0.750 0.731 Mn
0.000 0.500 0.000 Mn
0.508 0.250 0.769 Mn
0.500 0.500 0.500 Mn
0.500 0.000 0.500 Mn
0.492 0.750 0.231 Mn
0.000 0.000 0.000 Mn
0.992 0.250 0.269 Mn
0.592 0.750 0.910 Si
0.408 0.250 0.090 Si
0.092 0.250 0.590 Si
0.908 0.750 0.410 Si
0.266 0.750 0.407 S
0.263 0.250 0.935 S
0.246 0.476 0.667 S
0.754 0.976 0.333 S
0.737 0.750 0.065 S
0.746 0.976 0.833 S
0.254 0.024 0.167 S
0.237 0.250 0.435 S
0.754 0.524 0.333 S
0.254 0.476 0.167 S
0.746 0.524 0.833 S
0.234 0.750 0.907 S
0.734 0.250 0.593 S
0.763 0.750 0.565 S
0.766 0.250 0.093 S
0.246 0.024 0.667 S
```

- DOS(E_F): 0.15 states/eV/cell
- Space group: Pnma (62)
- Crystal system: orthorhombic

--- b ---
Computed, not measured: crystalline Mn2SiS4 at its relaxed geometry at the PBE-GGA level of DFT.

POSCAR file:
```
Mn2SiS4
1.0
-0.434 3.077 1.645
-6.048 -1.037 0.342
4.390 -3.515 3.977
S Mn Si
4 2 1
Direct
0.368 0.721 0.736 S
0.884 0.188 0.769 S
0.116 0.812 0.231 S
0.632 0.279 0.264 S
0.718 0.739 0.436 Mn
0.282 0.261 0.564 Mn
0.000 0.000 0.000 Si
```

- DOS(E_F): 3.42 states/eV/cell
- Space group: C2/m (12)
- Crystal system: monoclinic

Which structure is most stable? a, by 17.9 kJ/mol of atoms over the runner-up.